Entry 1:
# CaMg10Cu3 (PBE, relaxed)
# DOS at the Fermi energy: 9.69 states/eV/f.u.
# energy: -2.1687 eV/atom
# space group: No. 225
data_CaMg10Cu3
_space_group_name_H-M_alt 'P 1'
_space_group_IT_number 1
_cell_length_a 9.6025
_cell_length_b 9.6025
_cell_length_c 9.6025
_cell_angle_alpha 60.00
_cell_angle_beta 60.00
_cell_angle_gamma 60.00
loop_
_space_group_symop_operation_xyz
'x,y,z'
loop_
_atom_site_label
_atom_site_type_symbol
_atom_site_fract_x
_atom_site_fract_y
_atom_site_fract_z
Cu1 Cu 0.2687 0.7313 0.7313
Ca1 Ca 0.7500 0.7500 0.7500
Mg1 Mg 0.0000 0.3383 0.6617
Mg2 Mg 0.8358 0.3881 0.3881
Mg3 Mg 0.6617 0.0000 0.0000
Mg4 Mg 0.0000 0.0000 0.6617
Cu2 Cu 0.7313 0.7313 0.2687
Mg5 Mg 0.3881 0.8358 0.3881
Mg6 Mg 0.3881 0.3881 0.8358
Ca2 Ca 0.2500 0.2500 0.2500
Mg7 Mg 0.6617 0.3383 0.0000
Cu3 Cu 0.7313 0.2687 0.2687
Mg8 Mg 0.3383 0.0000 0.0000
Cu4 Cu 0.7313 0.2687 0.7313
Mg9 Mg 0.0000 0.0000 0.3383
Cu5 Cu 0.2687 0.2687 0.7313
Mg10 Mg 0.0000 0.3383 0.0000
Mg11 Mg 0.1642 0.6119 0.6119
Mg12 Mg 0.6617 0.0000 0.3383
Cu6 Cu 0.2687 0.7313 0.2687
Mg13 Mg 0.6119 0.1642 0.6119
Mg14 Mg 0.3383 0.0000 0.6617
Mg15 Mg 0.6119 0.6119 0.6119
Mg16 Mg 0.3383 0.6617 0.0000
Mg17 Mg 0.6119 0.6119 0.1642
Mg18 Mg 0.0000 0.6617 0.0000
Mg19 Mg 0.0000 0.6617 0.3383
Mg20 Mg 0.3881 0.3881 0.3881

Entry 2:
# Ca2Mg9Cu (PBE, relaxed)
# DOS at the Fermi energy: 4.81 states/eV/f.u.
# energy: -1.7301 eV/atom
# space group: No. 166
data_Ca2Mg9Cu
_space_group_name_H-M_alt 'P 1'
_space_group_IT_number 1
_cell_length_a 10.8643
_cell_length_b 10.8646
_cell_length_c 10.8646
_cell_angle_alpha 31.70
_cell_angle_beta 31.70
_cell_angle_gamma 31.70
loop_
_space_group_symop_operation_xyz
'x,y,z'
loop_
_atom_site_label
_atom_site_type_symbol
_atom_site_fract_x
_atom_site_fract_y
_atom_site_fract_z
Mg1 Mg 0.6661 0.6663 0.6663
Ca1 Ca 0.8547 0.8547 0.8547
Mg2 Mg 0.5837 0.0816 0.5837
Mg3 Mg 0.5000 0.5000 0.5000
Mg4 Mg 0.4163 0.9184 0.4163
Ca2 Ca 0.1453 0.1453 0.1453
Cu1 Cu 0.0000 0.0000 0.0000
Mg5 Mg 0.5837 0.5837 0.0816
Mg6 Mg 0.3339 0.3337 0.3337
Mg7 Mg 0.4163 0.4163 0.9184
Mg8 Mg 0.0815 0.5837 0.5837
Mg9 Mg 0.9185 0.4163 0.4163

Entry 3:
# Ca2MgCu2 (PBE, relaxed)
# DOS at the Fermi energy: 2.17 states/eV/f.u.
# energy: -2.6237 eV/atom
# space group: No. 63
data_Ca2MgCu2
_space_group_name_H-M_alt 'P 1'
_space_group_IT_number 1
_cell_length_a 5.7027
_cell_length_b 5.7027
_cell_length_c 9.5141
_cell_angle_alpha 90.00
_cell_angle_beta 90.00
_cell_angle_gamma 105.10
loop_
_space_group_symop_operation_xyz
'x,y,z'
loop_
_atom_site_label
_atom_site_type_symbol
_atom_site_fract_x
_atom_site_fract_y
_atom_site_fract_z
Cu1 Cu 0.8295 0.8295 0.5000
Ca1 Ca 0.2996 0.7004 0.4556
Ca2 Ca 0.2996 0.7004 0.0444
Cu2 Cu 0.1705 0.1705 0.0000
Ca3 Ca 0.7004 0.2996 0.9556
Mg1 Mg 0.0409 0.9591 0.7500
Cu3 Cu 0.1705 0.1705 0.5000
Mg2 Mg 0.9591 0.0409 0.2500
Ca4 Ca 0.7004 0.2996 0.5444
Cu4 Cu 0.8295 0.8295 0.0000

Entry 4:
# Ca2MgCu (PBE, relaxed)
# DOS at the Fermi energy: 2.21 states/eV/f.u.
# energy: -2.2975 eV/atom
# space group: No. 129
data_Ca2MgCu
_space_group_name_H-M_alt 'P 1'
_space_group_IT_number 1
_cell_length_a 5.4676
_cell_length_b 5.4676
_cell_length_c 8.9699
_cell_angle_alpha 90.00
_cell_angle_beta 90.00
_cell_angle_gamma 90.00
loop_
_space_group_symop_operation_xyz
'x,y,z'
loop_
_atom_site_label
_atom_site_type_symbol
_atom_site_fract_x
_atom_site_fract_y
_atom_site_fract_z
Mg1 Mg 0.0000 0.5000 0.2570
Ca1 Ca 0.5000 0.0000 0.1243
Ca2 Ca 0.0000 0.5000 0.8757
Cu1 Cu 0.5000 0.0000 0.4395
Ca3 Ca 0.0000 0.0000 0.5000
Mg2 Mg 0.5000 0.0000 0.7430
Ca4 Ca 0.5000 0.5000 0.5000
Cu2 Cu 0.0000 0.5000 0.5605

Magnetization list, top to bottom, in μB/f.u.: 0.0, 0.0, 0.0, 0.0
ΔE_f list, top to bottom, in eV per atom: -0.009, 0.141, 0.134, 0.126